The following is a GGA-PBE calculation of a relaxed CeTmGaSn crystal, from Alexandria via LeMat-Bulk.

Cell: 5.2372 5.2372 5.2372 Å, 60.00 60.00 60.00°
Fractional positions:
1 Ce 0.0000 0.0000 0.0000
2 Tm 0.5000 0.5000 0.5000
3 Ga 0.7500 0.7500 0.7500
4 Sn 0.2500 0.2500 0.2500

ΔE_f: -507 meV/atom
total DFT energy (no corrections): -19.46 eV/cell

=====

The following is a GGA-PBE calculation of a relaxed Pu2Fe3C2 crystal, from Alexandria via LeMat-Bulk.

Cell: 4.9826 4.9826 6.3155 Å, 118.36 118.36 36.76°
Fractional positions:
1 Pu 0.1709 0.1709 0.3444
2 Pu 0.8291 0.8291 0.6556
3 Fe 0.3680 0.3680 0.0586
4 Fe 0.5000 0.5000 0.5000
5 Fe 0.6320 0.6320 0.9414
6 C 0.1375 0.1375 0.7418
7 C 0.8625 0.8625 0.2582

ΔE_f: 226 meV/atom
total DFT energy (no corrections): -70.91 eV/cell

=====

What did the second record say?
The following is a GGA-PBE calculation of a relaxed Pu2Fe3C2 crystal, from Alexandria via LeMat-Bulk.

Cell: 4.9826 4.9826 6.3155 Å, 118.36 118.36 36.76°
Fractional positions:
1 Pu 0.1709 0.1709 0.3444
2 Pu 0.8291 0.8291 0.6556
3 Fe 0.3680 0.3680 0.0586
4 Fe 0.5000 0.5000 0.5000
5 Fe 0.6320 0.6320 0.9414
6 C 0.1375 0.1375 0.7418
7 C 0.8625 0.8625 0.2582

ΔE_f: 226 meV/atom
total DFT energy (no corrections): -70.91 eV/cell

=====

total DFT energy (no corrections) of number 2 (Pu2Fe3C2)?
-70.91 eV/cell

=====

What did the first record say?
The following is a GGA-PBE calculation of a relaxed CeTmGaSn crystal, from Alexandria via LeMat-Bulk.

Cell: 5.2372 5.2372 5.2372 Å, 60.00 60.00 60.00°
Fractional positions:
1 Ce 0.0000 0.0000 0.0000
2 Tm 0.5000 0.5000 0.5000
3 Ga 0.7500 0.7500 0.7500
4 Sn 0.2500 0.2500 0.2500

ΔE_f: -507 meV/atom
total DFT energy (no corrections): -19.46 eV/cell

=====

Repeat the first record exactly.
The following is a GGA-PBE calculation of a relaxed CeTmGaSn crystal, from Alexandria via LeMat-Bulk.

Cell: 5.2372 5.2372 5.2372 Å, 60.00 60.00 60.00°
Fractional positions:
1 Ce 0.0000 0.0000 0.0000
2 Tm 0.5000 0.5000 0.5000
3 Ga 0.7500 0.7500 0.7500
4 Sn 0.2500 0.2500 0.2500

ΔE_f: -507 meV/atom
total DFT energy (no corrections): -19.46 eV/cell